TlFeIO2, relaxed, DFT PBE with a Hubbard U; space group = P4/mmm; E above lowest polymorph = 520 meV per atom
1.0
-3.0520 0.4749 -2.9111
-2.8276 -1.6632 2.6931
-1.2641 5.8367 2.2774
Fe O I Tl
1 2 1 1
Direct
0.5000 0.5000 0.5000
0.0000 0.5000 0.0000
0.5000 0.0000 0.0000
0.0000 0.0000 0.5000
0.0000 0.0000 0.0000